Material: TbCeLuPu
Method: DFT, GGA-PBE
State: optimized geometry

The space group is F-43m (No. 216) and the conventional cell measures 7.7849, 7.7849 and 7.7849 Å, with angles of 90.00, 90.00 and 90.00 degrees. Symmetry generates all atoms from Tb at (0.0000, 0.0000, 0.0000), Ce at (0.2500, 0.2500, 0.7500), Lu at (0.2500, 0.2500, 0.2500) and Pu at (0.0000, 0.0000, 0.5000).

The value obtained for the volume is 29.49 Å³ per atom. The formation energy is 0.187 eV per atom. The calculation puts the raw total energy at -7.17 eV per atom.

---

Material: Ti3Tc
Method: DFT, GGA-PBE
State: optimized geometry

The space group is Immm (No. 71) and the conventional cell measures 3.1505, 4.5115 and 9.0850 Å, with angles of 90.00, 90.00 and 90.00 degrees. Symmetry generates all atoms from Ti at (0.0000, 0.0000, 0.0000), Ti at (0.0000, 0.5000, 0.2242) and Tc at (0.0000, 0.0000, 0.5000).

The value obtained for the volume is 16.14 Å³ per atom. The formation energy is -0.300 eV per atom. The calculation puts the raw total energy at -8.81 eV per atom.

---

Material: CaSc3Os
Method: DFT, GGA-PBE
State: optimized geometry

The space group is Pm-3m (No. 221) and the conventional cell measures 4.6940, 4.6940 and 4.6940 Å, with angles of 90.00, 90.00 and 90.00 degrees. Symmetry generates all atoms from Ca at (0.0000, 0.0000, 0.0000), Sc at (0.0000, 0.0000, 0.5000) and Os at (0.5000, 0.5000, 0.5000).

The calculation puts the energy above the most stable polymorph in this dataset at 1809 meV/atom. The value obtained for the volume is 20.69 Å³ per atom. The formation energy is 1.712 eV per atom. The calculation puts the raw total energy at -4.73 eV per atom.

---

Material: Pr2GaAu6
Method: DFT, GGA-PBE
State: optimized geometry

The space group is P-3m1 (No. 164) and the conventional cell measures 6.4155, 6.4155 and 5.5133 Å, with angles of 90.00, 90.00 and 120.00 degrees. Symmetry generates all atoms from Pr at (0.3333, 0.6667, 0.1782), Ga at (0.0000, 0.0000, 0.0000) and Au at (0.1814, 0.3627, 0.6912).

The value obtained for the volume is 21.84 Å³ per atom. The formation energy is -0.610 eV per atom. The calculation puts the raw total energy at -4.19 eV per atom.

---

Material: NpGa3PtRh
Method: DFT, GGA-PBE
State: optimized geometry

The space group is Cmcm (No. 63) and the conventional cell measures 8.3370, 10.8398 and 5.4099 Å, with angles of 90.00, 90.00 and 90.00 degrees. Symmetry generates all atoms from Np at (0.0000, 0.1815, 0.2500), Ga at (0.0000, 0.3200, 0.7500), Ga at (0.2464, 0.0000, 0.0000), Pt at (0.0000, 0.4321, 0.2500) and Rh at (0.0000, 0.0818, 0.7500).

The value obtained for the volume is 20.37 Å³ per atom. The formation energy is -0.246 eV per atom. The calculation puts the raw total energy at -6.15 eV per atom.

---

Material: Cd2SnBi2
Method: DFT, GGA-PBE
State: optimized geometry

The space group is I4/mmm (No. 139) and the conventional cell measures 4.7685, 4.7685 and 13.5470 Å, with angles of 90.00, 90.00 and 90.00 degrees. Symmetry generates all atoms from Cd at (0.0000, 0.0000, 0.0993), Sn at (0.0000, 0.0000, 0.5000) and Bi at (0.0000, 0.5000, 0.2500).

The calculation puts the energy above the most stable polymorph in this dataset at 99 meV/atom. The value obtained for the volume is 30.80 Å³ per atom. The formation energy is 0.197 eV per atom. The calculation puts the raw total energy at -2.52 eV per atom.

---

Material: Rb2NpMn2S4
Method: DFT, GGA-PBE
State: optimized geometry

The space group is C2/m (No. 12) and the conventional cell measures 14.9305, 4.0552 and 7.8742 Å, with angles of 90.00, 109.18 and 90.00 degrees. Symmetry generates all atoms from Rb at (0.1330, 0.0000, 0.0518), Np at (0.0000, 0.0000, 0.5000), Mn at (0.1798, 0.5000, 0.4827), S at (0.0236, 0.5000, 0.2748) and S at (0.1981, 0.0000, 0.6587).

The value obtained for the uncorrected formation energy is -0.9584 eV/atom. The value obtained for the volume is 25.02 Å³ per atom. The calculation puts the raw total energy at -6.48 eV per atom.

---

Material: Li2CrIrPb
Method: DFT, GGA-PBE
State: optimized geometry

The space group is P4/mmm (No. 123) and the conventional cell measures 4.8178, 4.8178 and 5.0581 Å, with angles of 90.00, 90.00 and 90.00 degrees. Symmetry generates all atoms from Li at (0.0000, 0.5000, 0.0000), Cr at (0.0000, 0.0000, 0.5000), Ir at (0.5000, 0.5000, 0.5000) and Pb at (0.5000, 0.5000, 0.0000).

The value obtained for the volume is 23.48 Å³ per atom. The formation energy is 0.963 eV per atom. The calculation puts the raw total energy at -4.24 eV per atom.